# AcPr2Nd

Crystalline AcPr2Nd at its relaxed geometry (PBE, the Alexandria database).

The calculated formation energy is 18 meV/atom. The value obtained for the density of states at the Fermi level is 5.97 states/eV/f.u. The value obtained for the calculated density is 7.14 Mg/m³. Its excess energy over the best structure of this formula in the dataset is 0 meV/atom.

Unit cell a=6.5013 b=6.5013 c=3.8018 alpha=90.00 beta=90.00 gamma=109.14
Fractional positions:
Ac: 0.0000 0.0000 0.0000
Pr: 0.0000 0.5000 0.4998
Pr: 0.5000 0.0000 0.4998
Nd: 0.5000 0.5000 0.9987